Entry 1:
{
  "formula": "TlAgP",
  "functional": "PBE",
  "state": "optimized geometry",
  "cell": [[5.223, -2.227, 0.000], [5.223, 2.227, 0.000], [-4.935, 0.000, 5.817]],
  "species": ["Tl", "Tl", "Ag", "Ag", "P", "P"],
  "fractional_positions": [[0.221, 0.221, 0.144], [0.779, 0.779, 0.856], [0.428, 0.428, 0.727], [0.572, 0.572, 0.273], [0.081, 0.081, 0.459], [0.919, 0.919, 0.541]],
  "formation_energy_ev_per_fu": 0.4,
  "spacegroup": "C2/m, No. 12",
  "e_tot_ev_per_atom": -3.4246,
  "density_g_cm3": 8.422,
  "polymorph_energy_ev_per_atom": 0.000
}

---

Entry 2:
{
  "formula": "PmFe4C4",
  "functional": "PBE",
  "state": "optimized geometry",
  "cell": [[7.061, 0.000, 0.000], [0.000, 7.061, 0.000], [0.000, 0.000, 3.587]],
  "species": ["Pm", "Pm", "Fe", "Fe", "Fe", "Fe", "Fe", "Fe", "Fe", "Fe", "C", "C", "C", "C", "C", "C", "C", "C"],
  "fractional_positions": [[0.250, 0.250, 0.250], [0.750, 0.750, 0.750], [0.095, 0.848, 0.123], [0.152, 0.595, 0.623], [0.348, 0.905, 0.623], [0.405, 0.652, 0.123], [0.595, 0.348, 0.877], [0.652, 0.095, 0.377], [0.848, 0.405, 0.377], [0.905, 0.152, 0.877], [0.035, 0.579, 0.128], [0.079, 0.965, 0.628], [0.421, 0.535, 0.628], [0.465, 0.921, 0.128], [0.535, 0.079, 0.872], [0.579, 0.465, 0.372], [0.921, 0.035, 0.372], [0.965, 0.421, 0.872]],
  "formation_energy_ev_per_fu": 0.5,
  "spacegroup": "P4_2/n, No. 86",
  "e_tot_ev_per_atom": -8.3315,
  "density_g_cm3": 7.734
}

---

Entry 3:
{
  "formula": "Li2MgBi",
  "functional": "PBE",
  "state": "optimized geometry",
  "cell": [[3.607, 0.000, 0.000], [0.000, 3.607, 0.000], [0.000, 0.000, 6.721]],
  "species": ["Li", "Li", "Mg", "Bi"],
  "fractional_positions": [[0.000, 0.000, 0.249], [0.000, 0.000, 0.751], [0.500, 0.500, 0.500], [0.500, 0.500, 0.000]],
  "formation_energy_ev_per_fu": -0.9,
  "spacegroup": "P4/mmm, No. 123",
  "e_tot_ev_per_atom": -2.5622,
  "density_g_cm3": 4.692,
  "polymorph_energy_ev_per_atom": 0.098
}

---

Entry 4:
{
  "formula": "BaTl2Ag2Br7",
  "functional": "PBE",
  "state": "optimized geometry",
  "cell": [[3.922, -3.814, 0.000], [3.922, 3.814, 0.000], [-3.663, 0.000, 13.706]],
  "species": ["Ba", "Tl", "Tl", "Ag", "Ag", "Br", "Br", "Br", "Br", "Br", "Br", "Br"],
  "fractional_positions": [[0.000, 0.000, 0.000], [0.246, 0.246, 0.366], [0.754, 0.754, 0.634], [0.406, 0.406, 0.798], [0.594, 0.594, 0.202], [0.079, 0.579, 0.172], [0.332, 0.332, 0.599], [0.421, 0.921, 0.828], [0.500, 0.500, 0.000], [0.579, 0.079, 0.172], [0.668, 0.668, 0.401], [0.921, 0.421, 0.828]],
  "spacegroup": "C2/m, No. 12",
  "e_form_raw_ev_per_atom": -0.91,
  "e_tot_ev_per_atom": -2.9189,
  "density_g_cm3": 5.351
}

---

Entry 5:
{
  "formula": "BeBr3",
  "functional": "PBE",
  "state": "optimized geometry",
  "cell": [[6.101, 0.000, 0.000], [0.000, 12.698, 0.000], [0.000, 0.000, 6.261]],
  "species": ["Be", "Be", "Be", "Be", "Br", "Br", "Br", "Br", "Br", "Br", "Br", "Br", "Br", "Br", "Br", "Br"],
  "fractional_positions": [[0.177, 0.250, 0.132], [0.323, 0.750, 0.632], [0.677, 0.250, 0.368], [0.823, 0.750, 0.868], [0.074, 0.620, 0.750], [0.074, 0.880, 0.750], [0.177, 0.250, 0.782], [0.323, 0.750, 0.282], [0.426, 0.120, 0.250], [0.426, 0.380, 0.250], [0.574, 0.620, 0.750], [0.574, 0.880, 0.750], [0.677, 0.250, 0.718], [0.823, 0.750, 0.218], [0.926, 0.120, 0.250], [0.926, 0.380, 0.250]],
  "spacegroup": "Pnma, No. 62",
  "e_form_raw_ev_per_atom": -0.50,
  "e_tot_ev_per_atom": -2.6859,
  "density_g_cm3": 3.406,
  "polymorph_energy_ev_per_atom": 0.004
}

---

Entry 6:
{
  "formula": "NdDyZn4",
  "functional": "PBE",
  "state": "optimized geometry",
  "cell": [[0.000, 3.903, 3.903], [3.903, 0.000, 3.903], [3.903, 3.903, 0.000]],
  "species": ["Nd", "Dy", "Zn", "Zn", "Zn", "Zn"],
  "fractional_positions": [[0.000, 0.000, 0.000], [0.250, 0.250, 0.250], [0.126, 0.625, 0.625], [0.625, 0.126, 0.625], [0.625, 0.625, 0.126], [0.625, 0.625, 0.625]],
  "formation_energy_ev_per_fu": -2.0,
  "spacegroup": "F-43m, No. 216",
  "e_tot_ev_per_atom": -2.7381,
  "density_g_cm3": 7.935,
  "polymorph_energy_ev_per_atom": 0.028
}